No. 1
{"formula": "NdY2Au", "functional": "GGA-PBE", "state": "relaxed", "cell": [[3.761, 0.000, 0.000], [-1.880, 3.257, 0.000], [0.000, 0.000, 30.060]], "species": ["Nd", "Nd", "Nd", "Y", "Y", "Y", "Y", "Y", "Y", "Au", "Au", "Au"], "fractional_positions": [[0.000, 0.000, 0.000], [0.333, 0.667, 0.667], [0.667, 0.333, 0.333], [0.000, 0.000, 0.234], [0.000, 0.000, 0.766], [0.333, 0.667, 0.433], [0.333, 0.667, 0.901], [0.667, 0.333, 0.099], [0.667, 0.333, 0.567], [0.000, 0.000, 0.500], [0.333, 0.667, 0.167], [0.667, 0.333, 0.833]], "space_group": "R-3m, No. 166", "ef_ev_per_atom": -0.29, "volume_a3_per_atom": 30.7, "crystal_system": "trigonal", "e_above_lowest_polymorph_ev_per_atom": 0.147}

No. 2
{"formula": "Ac5La2PmPr", "functional": "GGA-PBE", "state": "relaxed", "cell": [[-4.268, 4.268, 10.388], [4.268, -4.268, 10.388], [4.268, 4.268, -10.388]], "species": ["Ac", "Ac", "Ac", "Ac", "Ac", "Ac", "Ac", "Ac", "Ac", "Ac", "La", "La", "La", "La", "Pm", "Pm", "Pr", "Pr"], "fractional_positions": [[0.000, 0.000, 0.000], [0.086, 0.586, 0.946], [0.140, 0.086, 0.500], [0.360, 0.860, 0.946], [0.414, 0.360, 0.500], [0.500, 0.500, 0.000], [0.586, 0.640, 0.500], [0.640, 0.140, 0.054], [0.860, 0.914, 0.500], [0.914, 0.414, 0.054], [0.121, 0.379, 0.500], [0.379, 0.879, 0.258], [0.621, 0.121, 0.742], [0.879, 0.621, 0.500], [0.250, 0.250, 0.000], [0.750, 0.750, 0.000], [0.250, 0.750, 0.500], [0.750, 0.250, 0.500]], "space_group": "I4/mcm, No. 140", "ef_ev_per_atom": 0.25, "volume_a3_per_atom": 42.1, "crystal_system": "tetragonal"}

No. 3
{"formula": "MgSeI", "functional": "GGA-PBE", "state": "relaxed", "cell": [[12.905, 0.000, 0.000], [0.000, 4.664, 0.000], [-0.641, 0.000, 6.362]], "species": ["Mg", "Mg", "Mg", "Mg", "Se", "Se", "Se", "Se", "I", "I", "I", "I"], "fractional_positions": [[0.000, 0.000, 0.000], [0.000, 0.500, 0.500], [0.500, 0.000, 0.500], [0.500, 0.500, 0.000], [0.082, 0.000, 0.626], [0.418, 0.500, 0.374], [0.582, 0.500, 0.626], [0.918, 0.000, 0.374], [0.140, 0.500, 0.157], [0.360, 0.000, 0.843], [0.640, 0.000, 0.157], [0.860, 0.500, 0.843]], "space_group": "C2/m, No. 12", "volume_a3_per_atom": 31.9, "crystal_system": "monoclinic", "e_above_lowest_polymorph_ev_per_atom": 0.033}

No. 4
{"formula": "CeMgCd", "functional": "GGA-PBE", "state": "relaxed", "cell": [[5.501, 0.000, 0.000], [0.000, 5.269, 0.000], [-0.435, 0.000, 10.188]], "species": ["Ce", "Ce", "Ce", "Ce", "Mg", "Mg", "Mg", "Mg", "Cd", "Cd", "Cd", "Cd"], "fractional_positions": [[0.209, 0.000, 0.067], [0.291, 0.500, 0.933], [0.709, 0.500, 0.067], [0.791, 0.000, 0.933], [0.234, 0.500, 0.273], [0.266, 0.000, 0.727], [0.734, 0.000, 0.273], [0.766, 0.500, 0.727], [0.245, 0.000, 0.413], [0.255, 0.500, 0.587], [0.745, 0.500, 0.413], [0.755, 0.000, 0.587]], "space_group": "C2/m, No. 12", "ef_ev_per_atom": -0.02, "volume_a3_per_atom": 24.6, "crystal_system": "monoclinic"}

No. 5
{"formula": "MnIrPb2", "functional": "GGA-PBE", "state": "relaxed", "cell": [[3.199, 0.000, 0.000], [-1.599, 2.770, 0.000], [0.000, 0.000, 30.465]], "species": ["Mn", "Mn", "Mn", "Ir", "Ir", "Ir", "Pb", "Pb", "Pb", "Pb", "Pb", "Pb"], "fractional_positions": [[0.000, 0.000, 0.000], [0.333, 0.667, 0.667], [0.667, 0.333, 0.333], [0.000, 0.000, 0.274], [0.333, 0.667, 0.940], [0.667, 0.333, 0.607], [0.000, 0.000, 0.531], [0.000, 0.000, 0.749], [0.333, 0.667, 0.197], [0.333, 0.667, 0.416], [0.667, 0.333, 0.082], [0.667, 0.333, 0.864]], "space_group": "R3m, No. 160", "ef_ev_per_atom": 0.35, "volume_a3_per_atom": 22.5, "crystal_system": "trigonal", "e_above_lowest_polymorph_ev_per_atom": 0.181}

No. 6
{"formula": "NaLi2FeN", "functional": "GGA-PBE", "state": "relaxed", "cell": [[4.303, 0.000, 0.000], [0.000, 4.303, 0.000], [0.000, 0.000, 3.557]], "species": ["Na", "Li", "Li", "Fe", "N"], "fractional_positions": [[0.000, 0.000, 0.000], [0.000, 0.500, 0.500], [0.500, 0.000, 0.500], [0.500, 0.500, 0.000], [0.500, 0.500, 0.500]], "space_group": "P4/mmm, No. 123", "volume_a3_per_atom": 13.2, "crystal_system": "tetragonal", "final_energy_ev_per_cell": -22.3}

No. 7
{"formula": "TbMg3Cu8", "functional": "GGA-PBE", "state": "relaxed", "cell": [[2.521, 1.455, 8.274], [-2.521, 1.455, 8.274], [0.000, -2.911, 8.274]], "species": ["Tb", "Mg", "Mg", "Mg", "Cu", "Cu", "Cu", "Cu", "Cu", "Cu", "Cu", "Cu"], "fractional_positions": [[0.000, 0.000, 0.000], [0.384, 0.384, 0.384], [0.503, 0.503, 0.503], [0.872, 0.872, 0.872], [0.188, 0.188, 0.188], [0.437, 0.437, 0.937], [0.437, 0.937, 0.437], [0.441, 0.939, 0.939], [0.689, 0.689, 0.689], [0.937, 0.437, 0.437], [0.939, 0.441, 0.939], [0.939, 0.939, 0.441]], "space_group": "R3m, No. 160", "ef_ev_per_atom": -0.18, "volume_a3_per_atom": 15.2, "crystal_system": "trigonal"}

No. 8
{"formula": "Pr7Al2Te2", "functional": "GGA-PBE", "state": "relaxed", "cell": [[-2.062, 8.226, 5.185], [2.062, -8.226, 5.185], [2.062, 8.226, -5.185]], "species": ["Pr", "Pr", "Pr", "Pr", "Pr", "Pr", "Pr", "Al", "Al", "Te", "Te"], "fractional_positions": [[0.000, 0.000, 0.000], [0.314, 0.427, 0.887], [0.334, 0.657, 0.677], [0.540, 0.427, 0.113], [0.602, 0.241, 0.361], [0.880, 0.241, 0.639], [0.979, 0.657, 0.323], [0.249, 0.749, 0.500], [0.686, 0.686, 0.000], [0.172, 0.939, 0.232], [0.707, 0.939, 0.768]], "space_group": "Imm2, No. 44", "volume_a3_per_atom": 32.0, "crystal_system": "orthorhombic", "final_energy_ev_per_cell": -53.3}